The following is a GGA-PBE calculation of K4LaSi after structural relaxation, from the Alexandria database.

Lattice parameters (Å, degrees): 7.1527 7.1527 7.1527 60.00 60.00 60.00
Atoms (fractional coordinates):
K1 0.3777 0.3777 0.3777
K2 0.3777 0.3777 0.8670
K3 0.3777 0.8670 0.3777
K4 0.8670 0.3777 0.3777
La1 0.0000 0.0000 0.0000
Si1 0.7500 0.7500 0.7500

Computed properties:
D(E_F): 1.4043 states/eV per atom
formation energy without anion corrections: 736.5 meV/atom
uncorrected energy: -0.12644 Ry/atom